i) Compound: Tb7Dy2Sc2
Source: Alexandria via LeMat-Bulk
Functional: PBE
Structure: optimized geometry

Cell: 9.1836 9.1836 9.1836 Å, 145.91 127.16 64.39°
Last column: nearest neighbours and their distance in Å.
Fractional coordinates of all 11 atoms:
Tb: 0.0000 0.0000 0.0000  4 Tb 3.27, 4 Dy 3.64
Tb: 0.1541 0.8584 0.2957  5 Tb 3.27-3.63, 3 Sc 3.30-3.45, 2 Dy 3.48
Tb: 0.1634 0.6634 0.5000  2 Sc 3.43, 8 Tb 3.46-3.70, 2 Dy 3.53
Tb: 0.4372 0.1416 0.2957  5 Tb 3.27-3.63, 3 Sc 3.30-3.45, 2 Dy 3.48
Tb: 0.5628 0.8584 0.7043  5 Tb 3.27-3.63, 3 Sc 3.30-3.45, 2 Dy 3.48
Tb: 0.8366 0.3366 0.5000  2 Sc 3.43, 8 Tb 3.46-3.70, 2 Dy 3.53
Tb: 0.8459 0.1416 0.7043  5 Tb 3.27-3.63, 3 Sc 3.30-3.45, 2 Dy 3.48
Dy: 0.2994 0.5000 0.7994  1 Dy 3.28, 8 Tb 3.48-3.64, 2 Sc 3.52
Dy: 0.7006 0.5000 0.2006  1 Dy 3.28, 8 Tb 3.48-3.64, 2 Sc 3.52
Sc: 0.2997 0.2997 0.0000  8 Tb 3.30-3.45, 2 Dy 3.52
Sc: 0.7003 0.7003 0.0000  8 Tb 3.30-3.45, 2 Dy 3.52

Values from the calculation:
As for the space group: No. 71. For the spin magnetization, the calculation gives 0.000 μB/atom. The value obtained for the density of states at the Fermi level is 17.60 states/eV/cell.

***

ii) Compound: Tb7Dy2Sc2
Source: Alexandria via LeMat-Bulk
Functional: PBE
Structure: optimized geometry

Cell: 10.5345 10.5345 10.5345 Å, 160.35 66.41 117.29°
Last column: nearest neighbours and their distance in Å.
Fractional coordinates of all 11 atoms:
Tb: 0.0000 0.0000 0.0000  2 Sc 3.41, 2 Tb 3.60, 1 Dy 3.81
Tb: 0.0424 0.7302 0.3121  3 Sc 3.20-3.53, 4 Tb 3.45-3.58, 1 Dy 3.58
Tb: 0.3394 0.4927 0.8466  3 Dy 3.22-3.59, 2 Sc 3.24, 6 Tb 3.45-3.60
Tb: 0.4181 0.7302 0.6879  3 Sc 3.20-3.53, 4 Tb 3.45-3.58, 1 Dy 3.58
Tb: 0.6348 0.2734 0.3614  2 Sc 3.13, 2 Dy 3.31
Tb: 0.6461 0.4927 0.1534  3 Dy 3.22-3.59, 2 Sc 3.24, 6 Tb 3.45-3.60
Tb: 0.9120 0.2734 0.6386  2 Sc 3.13, 2 Dy 3.31
Dy: 0.3537 0.8537 0.5000  6 Tb 3.58-3.59, 4 Dy 3.60-3.74
Dy: 0.6528 0.6528 0.0000  6 Tb 3.22-3.31, 2 Dy 3.60
Sc: 0.1828 0.9893 0.1936  7 Tb 3.13-3.41
Sc: 0.7957 0.9893 0.8064  7 Tb 3.13-3.41

Values from the calculation:
As for the space group: No. 44. For the spin magnetization, the calculation gives 0.000 μB/atom. The value obtained for the density of states at the Fermi level is 14.29 states/eV/cell.

***

The least stable of them is ii).

***

i) Compound: TbDy8Sc2
Source: Alexandria via LeMat-Bulk
Functional: PBE
Structure: optimized geometry

Cell: 9.1526 9.1526 9.1526 Å, 145.91 127.03 64.51°
Last column: nearest neighbours and their distance in Å.
Fractional coordinates of all 11 atoms:
Tb: 0.0000 0.0000 0.0000  8 Dy 3.27-3.63
Dy: 0.1530 0.8577 0.2953  1 Tb 3.27, 3 Sc 3.29-3.42, 6 Dy 3.34-3.62
Dy: 0.1629 0.6629 0.5000  2 Sc 3.41, 8 Dy 3.45-3.62, 2 Tb 3.68
Dy: 0.2996 0.5000 0.7996  7 Dy 3.27-3.51, 2 Sc 3.51, 2 Tb 3.63
Dy: 0.4376 0.1423 0.2953  1 Tb 3.27, 3 Sc 3.29-3.42, 6 Dy 3.34-3.62
Dy: 0.5624 0.8577 0.7047  1 Tb 3.27, 3 Sc 3.29-3.42, 6 Dy 3.34-3.62
Dy: 0.7004 0.5000 0.2004  7 Dy 3.27-3.51, 2 Sc 3.51, 2 Tb 3.63
Dy: 0.8371 0.3371 0.5000  2 Sc 3.41, 8 Dy 3.45-3.62, 2 Tb 3.68
Dy: 0.8470 0.1423 0.7047  1 Tb 3.27, 3 Sc 3.29-3.42, 6 Dy 3.34-3.62
Sc: 0.2992 0.2992 0.0000  10 Dy 3.29-3.51
Sc: 0.7008 0.7008 0.0000  10 Dy 3.29-3.51

Values from the calculation:
As for the space group: No. 71. For the spin magnetization, the calculation gives 0.000 μB/atom. The value obtained for the density of states at the Fermi level is 17.52 states/eV/cell.

***

ii) Compound: TbDy8Sc2
Source: Alexandria via LeMat-Bulk
Functional: PBE
Structure: optimized geometry

Cell: 8.8249 8.8249 6.4847 Å, 99.89 99.89 43.45°
Last column: nearest neighbours and their distance in Å.
Fractional coordinates of all 11 atoms:
Tb: 0.0000 0.0000 0.0000  8 Dy 3.30-3.69
Dy: 0.1732 0.6476 0.5855  5 Dy 3.10-3.43, 1 Sc 3.27, 1 Tb 3.30
Dy: 0.2412 0.2412 0.3023  5 Dy 3.21-3.40, 4 Sc 3.26-3.47
Dy: 0.3524 0.8268 0.4145  5 Dy 3.10-3.43, 1 Sc 3.27, 1 Tb 3.30
Dy: 0.4067 0.4067 0.0855  6 Dy 3.28-3.60, 1 Sc 3.52
Dy: 0.5933 0.5933 0.9145  6 Dy 3.28-3.60, 1 Sc 3.52
Dy: 0.6476 0.1732 0.5855  5 Dy 3.10-3.43, 1 Sc 3.27, 1 Tb 3.30
Dy: 0.7588 0.7588 0.6977  5 Dy 3.21-3.40, 4 Sc 3.26-3.47
Dy: 0.8268 0.3524 0.4145  5 Dy 3.10-3.43, 1 Sc 3.27, 1 Tb 3.30
Sc: 0.2036 0.2036 0.7911  7 Dy 3.26-3.52
Sc: 0.7964 0.7964 0.2089  7 Dy 3.26-3.52

Values from the calculation:
As for the space group: No. 12. For the spin magnetization, the calculation gives 0.000 μB/atom. The value obtained for the density of states at the Fermi level is 18.55 states/eV/cell.

***

The least stable of them is ii).

***

i) Compound: Tb4Dy2Sc
Source: Alexandria via LeMat-Bulk
Functional: PBE
Structure: optimized geometry

Cell: 5.4649 12.0383 13.3781 Å, 90.00 90.00 90.00°
Last column: nearest neighbours and their distance in Å.
Fractional coordinates of all 28 atoms:
Tb: 0.0014 0.2435 0.0752  1 Sc 3.25, 5 Tb 3.31-3.50
Tb: 0.0014 0.2565 0.5752  1 Sc 3.25, 5 Tb 3.31-3.50
Tb: 0.0015 0.1416 0.3202  1 Sc 2.95
Tb: 0.0015 0.3584 0.8202  1 Sc 2.95
Tb: 0.4985 0.6416 0.3202  1 Sc 2.95
Tb: 0.4985 0.8584 0.8202  1 Sc 2.95
Tb: 0.4986 0.7435 0.0752  1 Sc 3.25, 5 Tb 3.31-3.50
Tb: 0.4986 0.7565 0.5752  1 Sc 3.25, 5 Tb 3.31-3.50
Tb: 0.5014 0.2435 0.4248  1 Sc 3.25, 5 Tb 3.31-3.50
Tb: 0.5014 0.2565 0.9248  1 Sc 3.25, 5 Tb 3.31-3.50
Tb: 0.5015 0.1416 0.1798  1 Sc 2.95
Tb: 0.5015 0.3584 0.6798  1 Sc 2.95
Tb: 0.9985 0.6416 0.1798  1 Sc 2.95
Tb: 0.9985 0.8584 0.6798  1 Sc 2.95
Tb: 0.9986 0.7435 0.4248  1 Sc 3.25, 5 Tb 3.31-3.50
Tb: 0.9986 0.7565 0.9248  1 Sc 3.25, 5 Tb 3.31-3.50
Dy: 0.0003 0.0693 0.8444  7 Tb 3.36-3.75, 2 Sc 3.53-3.54, 2 Dy 3.72
Dy: 0.0003 0.4307 0.3444  7 Tb 3.36-3.75, 2 Sc 3.53-3.54, 2 Dy 3.72
Dy: 0.9997 0.5693 0.6556  7 Tb 3.36-3.75, 2 Sc 3.53-3.54, 2 Dy 3.72
Dy: 0.9997 0.9307 0.1556  7 Tb 3.36-3.75, 2 Sc 3.53-3.54, 2 Dy 3.72
Dy: 0.5003 0.0693 0.6556  7 Tb 3.36-3.75, 2 Sc 3.53-3.54, 2 Dy 3.72
Dy: 0.5003 0.4307 0.1556  7 Tb 3.36-3.75, 2 Sc 3.53-3.54, 2 Dy 3.72
Dy: 0.4997 0.5693 0.8444  7 Tb 3.36-3.75, 2 Sc 3.53-3.54, 2 Dy 3.72
Dy: 0.4997 0.9307 0.3444  7 Tb 3.36-3.75, 2 Sc 3.53-3.54, 2 Dy 3.72
Sc: 0.0000 0.0000 0.5000  4 Tb 2.95-3.25
Sc: 0.0000 0.5000 0.0000  4 Tb 2.95-3.25
Sc: 0.5000 0.0000 0.0000  4 Tb 2.95-3.25
Sc: 0.5000 0.5000 0.5000  4 Tb 2.95-3.25

Values from the calculation:
As for the space group: No. 61. For the spin magnetization, the calculation gives 0.000 μB/atom. The value obtained for the density of states at the Fermi level is 43.58 states/eV/cell.

***

ii) Compound: Tb4Dy2Sc
Source: Alexandria via LeMat-Bulk
Functional: PBE
Structure: optimized geometry

Cell: 6.0490 6.5093 11.3662 Å, 90.00 104.83 90.00°
Last column: nearest neighbours and their distance in Å.
Fractional coordinates of all 14 atoms:
Tb: 0.0362 0.2500 0.3686  3 Sc 3.24-3.43, 3 Dy 3.29-3.41, 2 Tb 3.37
Tb: 0.1511 0.2500 0.9422  1 Sc 3.17, 4 Dy 3.36-3.39, 4 Tb 3.45-3.50
Tb: 0.3548 0.5065 0.2137  5 Tb 3.17-3.50, 1 Sc 3.36, 1 Dy 3.43
Tb: 0.3548 0.9935 0.2137  5 Tb 3.17-3.50, 1 Sc 3.36, 1 Dy 3.43
Tb: 0.6452 0.0065 0.7863  5 Tb 3.17-3.50, 1 Sc 3.36, 1 Dy 3.43
Tb: 0.6452 0.4935 0.7863  5 Tb 3.17-3.50, 1 Sc 3.36, 1 Dy 3.43
Tb: 0.8489 0.7500 0.0578  1 Sc 3.17, 4 Dy 3.36-3.39, 4 Tb 3.45-3.50
Tb: 0.9638 0.7500 0.6314  3 Sc 3.24-3.43, 3 Dy 3.29-3.41, 2 Tb 3.37
Dy: 0.2812 0.7500 0.9220  9 Tb 3.36-3.60
Dy: 0.3893 0.7500 0.5004  6 Tb 3.29-3.63, 1 Sc 3.32, 2 Dy 3.52
Dy: 0.6107 0.2500 0.4996  6 Tb 3.29-3.63, 1 Sc 3.32, 2 Dy 3.52
Dy: 0.7188 0.2500 0.0780  9 Tb 3.36-3.60
Sc: 0.1510 0.2500 0.6631  6 Tb 3.17-3.43, 1 Dy 3.32
Sc: 0.8490 0.7500 0.3369  6 Tb 3.17-3.43, 1 Dy 3.32

Values from the calculation:
As for the space group: No. 11. For the spin magnetization, the calculation gives 0.000 μB/atom. The value obtained for the density of states at the Fermi level is 23.49 states/eV/cell.

***

The least stable of them is i).

***

i) Compound: TbDyScTl
Source: Alexandria via LeMat-Bulk
Functional: PBE
Structure: optimized geometry

Cell: 4.7390 4.7580 4.7661 Å, 90.00 90.00 90.00°
Last column: nearest neighbours and their distance in Å.
Fractional coordinates of all 4 atoms:
Tb: 0.0000 0.0000 0.0000  4 Sc 3.36, 4 Tl 3.36, 4 Dy 3.37
Dy: 0.0000 0.5000 0.5000  4 Tl 3.36, 4 Sc 3.36, 4 Tb 3.37
Sc: 0.5000 0.5000 0.0000  4 Tb 3.36, 4 Dy 3.36, 4 Tl 3.37
Tl: 0.5000 0.0000 0.5000  4 Dy 3.36, 4 Tb 3.36, 4 Sc 3.37

Values from the calculation:
As for the space group: No. 47. For the spin magnetization, the calculation gives 0.248 μB/atom. The value obtained for the density of states at the Fermi level is 4.76 states/eV/cell.

***

ii) Compound: TbDyScTl
Source: Alexandria via LeMat-Bulk
Functional: PBE
Structure: optimized geometry

Cell: 5.3712 5.3712 5.3712 Å, 60.00 60.00 60.00°
Last column: nearest neighbours and their distance in Å.
Fractional coordinates of all 4 atoms:
Tb: 0.0000 0.0000 0.0000  4 Tl 3.29, 4 Sc 3.29
Dy: 0.5000 0.5000 0.5000  4 Tl 3.29, 4 Sc 3.29
Sc: 0.2500 0.2500 0.2500  4 Tb 3.29, 4 Dy 3.29
Tl: 0.7500 0.7500 0.7500  4 Tb 3.29, 4 Dy 3.29

Values from the calculation:
As for the space group: No. 216. For the spin magnetization, the calculation gives 0.349 μB/atom. The value obtained for the density of states at the Fermi level is 5.60 states/eV/cell.

***

The least stable of them is ii).